Entry 1:
Material: V2O3F
Method: DFT, PBE with a Hubbard U
State: relaxed

E above lowest polymorph	33	meV per atom
SG	No. 38
E	-44.8	eV/cell
density	4.26	Mg/m³
total moment	0.5000	μB per atom
DOS(E_F)	0.0273	states/eV/atom

Cell lengths 4.688, 4.688, 2.997 Å; angles 90.00, 90.00, 92.44 degrees
Site moments in Bohr magnetons follow the coordinates.
Atoms (fractional coordinates):
V 0.520 0.480 0.500  1.27
V 0.982 0.018 0.000  1.87
O 0.305 0.303 0.000  -0.07
O 0.797 0.203 0.500  -0.12
F 0.198 0.802 0.500  0.01
O 0.697 0.695 0.000  -0.07



Entry 2:
Material: V4O5F7
Method: DFT, PBE with a Hubbard U
State: relaxed

E above lowest polymorph	0	meV per atom
SG	No. 1
E	-105.3	eV/cell
density	3.22	Mg/m³
total moment	0.1875	μB per atom

Cell lengths 5.321, 5.359, 9.147 Å; angles 74.49, 90.44, 60.05 degrees
Site moments in Bohr magnetons follow the coordinates.
Atoms (fractional coordinates):
O 0.441 0.235 0.625  -0.15
O 0.390 0.748 0.654  -0.14
O 0.940 0.245 0.119  -0.07
F 0.542 0.763 0.373  0.00
F 0.095 0.240 0.842  0.00
O 0.083 0.270 0.398  -0.15
F 0.593 0.247 0.909  0.01
F 0.596 0.241 0.339  0.01
V 0.271 0.518 0.743  1.09
V 0.042 0.998 0.017  0.13
V 0.485 0.020 0.511  1.08
F 0.048 0.754 0.877  0.00
F 0.907 0.723 0.591  0.01
V 0.779 0.478 0.260  1.13
F 0.891 0.769 0.147  0.01
O 0.395 0.750 0.095  -0.03



Entry 3:
Material: V3O4F2
Method: DFT, PBE with a Hubbard U
State: relaxed

E above lowest polymorph	5	meV per atom
SG	No. 31
E	-132.9	eV/cell
density	4.21	Mg/m³
total moment	0.5556	μB per atom

Cell lengths 3.082, 4.679, 13.926 Å; angles 90.00, 90.00, 90.00 degrees
Site moments in Bohr magnetons follow the coordinates.
Atoms (fractional coordinates):
O 0.000 0.927 0.267  -0.07
F 0.500 0.076 0.435  0.00
V 0.500 0.696 0.008  1.27
O 0.500 0.073 0.767  -0.07
V 0.000 0.304 0.508  1.27
F 0.000 0.924 0.935  0.00
O 0.500 0.449 0.904  -0.09
V 0.500 0.744 0.333  1.87
O 0.000 0.551 0.404  -0.09
V 0.500 0.810 0.660  1.93
O 0.500 0.479 0.567  -0.07
V 0.000 0.256 0.833  1.87
O 0.500 0.005 0.094  -0.08
O 0.000 0.521 0.067  -0.07
V 0.000 0.190 0.160  1.93
F 0.500 0.415 0.232  0.00
O 0.000 0.995 0.594  -0.08
F 0.000 0.585 0.732  0.00



Entry 4:
Material: V3OF11
Method: DFT, PBE with a Hubbard U
State: relaxed

E above lowest polymorph	7	meV per atom
SG	No. 2
E	-171.7	eV/cell
density	2.95	Mg/m³
total moment	0.1333	μB per atom
DOS(E_F)	0.0000	states/eV/atom

Cell lengths 5.282, 5.465, 14.999 Å; angles 100.35, 89.87, 90.35 degrees
Site moments in Bohr magnetons follow the coordinates.
Atoms (fractional coordinates):
F 0.086 0.891 0.780  0.00
F 0.420 0.042 0.116  -0.04
O 0.222 0.539 0.644  -0.03
F 0.802 0.809 0.022  0.01
F 0.416 0.708 0.450  -0.04
F 0.202 0.876 0.310  0.01
F 0.914 0.790 0.554  0.00
O 0.778 0.461 0.356  -0.03
F 0.080 0.543 0.116  -0.04
F 0.698 0.310 0.023  0.01
F 0.415 0.376 0.781  -0.04
F 0.914 0.109 0.220  0.00
F 0.585 0.624 0.219  -0.04
F 0.298 0.019 0.640  0.01
V 0.521 0.314 0.667  1.00
V 0.961 0.214 0.337  0.06
V 0.039 0.786 0.663  0.06
F 0.584 0.292 0.550  -0.04
F 0.266 0.379 0.308  0.00
F 0.920 0.457 0.884  -0.04
F 0.580 0.958 0.884  -0.04
V 0.000 0.500 0.000  1.03
F 0.302 0.690 0.977  0.01
V 0.500 0.000 0.000  1.03
F 0.198 0.191 0.978  0.01
F 0.734 0.621 0.692  0.00
F 0.798 0.124 0.690  0.01
V 0.479 0.686 0.333  1.00
F 0.702 0.981 0.360  0.01
F 0.086 0.210 0.446  0.00



Entry 5:
Material: V4OF11
Method: DFT, PBE with a Hubbard U
State: relaxed

E above lowest polymorph	75	meV per atom
SG	No. 1
E	-98.5	eV/cell
density	3.25	Mg/m³
total moment	0.4375	μB per atom
DOS(E_F)	0.0000	states/eV/atom

Cell lengths 4.978, 5.095, 10.010 Å; angles 86.67, 105.01, 116.31 degrees
Site moments in Bohr magnetons follow the coordinates.
Atoms (fractional coordinates):
V 0.028 0.041 0.992  1.10
F 0.017 0.289 0.129  0.01
F 0.868 0.986 0.625  -0.01
O 0.235 0.267 0.887  -0.12
V 0.242 0.989 0.753  1.90
F 0.501 0.264 0.633  -0.01
F 0.377 0.010 0.126  0.00
F 0.238 0.714 0.620  0.00
F 0.494 0.721 0.365  0.00
V 0.754 0.002 0.247  1.92
F 0.760 0.271 0.382  0.00
F 0.126 0.997 0.373  -0.01
F 0.983 0.718 0.875  0.01
V 0.496 0.991 0.500  1.92
F 0.761 0.742 0.111  -0.01
F 0.619 0.999 0.881  0.00



Entry 6:
Material: V4OF11
Method: DFT, PBE with a Hubbard U
State: relaxed

E above lowest polymorph	6	meV per atom
SG	No. 5
E	-99.6	eV/cell
density	3.28	Mg/m³
total moment	0.4375	μB per atom

Cell lengths 5.287, 5.443, 9.060 Å; angles 74.33, 90.00, 60.94 degrees
Site moments in Bohr magnetons follow the coordinates.
Atoms (fractional coordinates):
F 0.066 0.260 0.825  0.01
F 0.938 0.734 0.176  0.01
F 0.076 0.240 0.425  0.01
F 0.472 0.250 0.625  0.00
V 0.996 0.016 0.008  1.58
F 0.433 0.745 0.677  0.00
F 0.574 0.237 0.927  0.00
F 0.927 0.755 0.573  0.00
F 0.561 0.263 0.323  0.00
O 0.948 0.250 0.125  -0.26
V 0.502 0.997 0.498  1.91
F 0.544 0.739 0.371  -0.01
V 0.762 0.484 0.242  1.58
F 0.033 0.761 0.879  -0.01
F 0.421 0.766 0.074  0.01
V 0.249 0.503 0.752  1.91